1.
! NiWCl2, relaxed, DFT PBE-GGA; values from VASP
&SYSTEM
  ibrav = 0, nat = 4, ntyp = 3
/
ATOMIC_SPECIES
Ni 58.69 Ni.upf
Cl 35.45 Cl.upf
W 183.84 W.upf
ATOMIC_POSITIONS angstrom
Ni 4.0319 -0.4472 1.2015
Cl 5.3049 1.8888 0.0000
Cl 1.5690 0.5586 0.0000
W 3.1639 1.9907 1.2019
CELL_PARAMETERS angstrom
7.7419 0.0095 -0.0004
6.0059 4.8853 0.0004
-6.5521 -3.3513 2.4034
! Raw formation energy: 0.36 eV per formula unit

***

2.
! NiWCl4, relaxed, DFT PBE-GGA; values from VASP
&SYSTEM
  ibrav = 0, nat = 6, ntyp = 3
/
ATOMIC_SPECIES
W 183.84 W.upf
Ni 58.69 Ni.upf
Cl 35.45 Cl.upf
ATOMIC_POSITIONS angstrom
W 0.0000 0.0000 0.0000
Ni 6.0153 6.0153 6.0153
Cl 3.0070 3.0070 3.0070
Cl 5.0134 3.0070 5.0134
Cl 3.0070 5.0134 5.0134
Cl 5.0134 5.0134 3.0070
CELL_PARAMETERS angstrom
0.0000 4.0102 4.0102
4.0102 0.0000 4.0102
4.0102 4.0102 0.0000
! Raw formation energy: 10.07 eV per formula unit

***

3.
! NiWCl2, relaxed, DFT PBE-GGA; values from VASP
&SYSTEM
  ibrav = 0, nat = 4, ntyp = 3
/
ATOMIC_SPECIES
Cl 35.45 Cl.upf
W 183.84 W.upf
Ni 58.69 Ni.upf
ATOMIC_POSITIONS angstrom
Cl 0.0262 0.0050 0.0029
Cl 11.3028 2.1513 1.2721
W 16.9934 3.2344 1.9125
Ni 5.6645 1.0781 0.6375
CELL_PARAMETERS angstrom
7.9253 -0.0133 -0.0078
7.3663 2.9238 -0.0078
7.3663 1.4021 2.5657
! Raw formation energy: 2.09 eV per formula unit

***

4.
! NiWCl2, relaxed, DFT PBE-GGA; values from VASP
&SYSTEM
  ibrav = 0, nat = 4, ntyp = 3
/
ATOMIC_SPECIES
Cl 35.45 Cl.upf
Ni 58.69 Ni.upf
W 183.84 W.upf
ATOMIC_POSITIONS angstrom
Cl -0.1700 0.5090 -0.7767
Cl -2.6919 1.7023 2.0188
Ni -0.8360 1.3012 -2.7552
W -1.3005 3.4606 -4.0760
CELL_PARAMETERS angstrom
-2.1443 3.7735 -0.2278
1.9076 0.7140 -8.1743
-2.4992 -3.5311 7.2419
! Raw formation energy: -0.52 eV per formula unit

***

Number 1: density of states at the Fermi level 2.88 states/eV/cell. Number 2: density of states at the Fermi level 13.97 states/eV/cell. Number 3: density of states at the Fermi level 3.46 states/eV/cell. Number 4: density of states at the Fermi level 1.73 states/eV/cell.